Entry from the Alexandria database: crystalline Cs2BaCrF at its relaxed geometry (PBE+U).

Cell lengths 6.264, 5.560, 6.264 Å; angles 90.00, 90.00, 90.00 degrees
Sites, in units of the cell vectors:
Cs1 0.000 0.000 0.500
Cs2 0.500 0.000 0.000
Cr1 0.500 0.500 0.500
Ba1 0.000 0.500 0.000
F1 0.000 0.000 0.000

**N(E_F)**: 3.4 states/eV per cell
**E_tot**: -16.49 eV per formula unit
**ρ**: 3.61 g cm⁻³